This record from Alexandria describes a relaxed structure of Li2PbSe. The functional is PBEsol.

Computed properties:
- Fermi-level density of states (states/eV/atom) = 0.182
- V (Å³/atom) = 19.63
- crystal system = monoclinic
- energy relative to the elements, uncorrected (eV per atom) = -0.6528
- size of the total moment (Bohr magnetons per cell) = 0.0

a b c (Å): 3.5481 3.5930 6.1636
angles (deg): 90.00 92.08 90.00
With the nearest neighbours (Å) after each atom.
Space group P2/m (No. 10)
Asymmetric unit:
Li1 0.0186 0.0000 0.3042  1 Li 2.42
Pb1 0.5000 0.5000 0.0000  2 Se 3.08, 8 Li 3.14-3.15
Se1 0.5000 0.5000 0.5000  8 Li 2.73-2.87